(1)
Entry from the Alexandria database: crystalline K2BeGeAu6 at its relaxed geometry (PBE).

Cell lengths 6.905, 6.905, 6.911 Å; angles 60.03, 60.03, 90.00 degrees
Positions (direct):
K 0.750 0.250 0.500
K 0.250 0.750 0.500
Be 0.000 0.000 0.000
Ge 0.500 0.500 0.000
Au 0.234 0.234 0.531
Au 0.766 0.766 0.000
Au 0.234 0.766 0.000
Au 0.766 0.234 0.000
Au 0.234 0.234 0.000
Au 0.766 0.766 0.469

Computed properties:
Calculated formation energy ... -0.15 eV per atom
Crystal system ... tetragonal

---

(2)
Entry from the Alexandria database: crystalline CuAg3F7 at its relaxed geometry (PBE).

Cell lengths 5.482, 5.482, 6.151 Å; angles 68.83, 68.83, 84.73 degrees
Each line ends with the local moment (μB).
Positions (direct):
Cu 0.007 0.007 0.970  0.86
Ag 0.817 0.259 0.443  -0.22
Ag 0.512 0.512 0.948  0.25
Ag 0.259 0.817 0.443  -0.22
F 0.192 0.192 0.130  0.03
F 0.697 0.094 0.212  0.07
F 0.940 0.318 0.726  0.08
F 0.094 0.697 0.212  0.07
F 0.488 0.488 0.560  -0.12
F 0.318 0.940 0.726  0.08
F 0.800 0.800 0.883  0.14

Computed properties:
E_form (uncorrected) ... -1.200 eV/atom
Crystal system ... monoclinic

---

(3)
Entry from the Alexandria database: crystalline Ba2LaPbO6 at its relaxed geometry (PBE).

Cell lengths 6.307, 6.312, 8.908 Å; angles 90.00, 90.47, 90.00 degrees
Each line ends with the local moment (μB).
Positions (direct):
Ba 0.010 0.974 0.249  0.00
Ba 0.510 0.526 0.749  0.00
Ba 0.990 0.026 0.751  0.00
Ba 0.490 0.474 0.251  0.00
La 0.500 0.000 0.000  0.04
La 0.000 0.500 0.500  0.04
Pb 0.500 0.000 0.500  0.00
Pb 0.000 0.500 0.000  0.00
O 0.267 0.716 0.042  0.13
O 0.767 0.784 0.542  0.13
O 0.733 0.284 0.958  0.13
O 0.233 0.216 0.458  0.13
O 0.287 0.731 0.457  0.13
O 0.787 0.769 0.957  0.13
O 0.713 0.269 0.543  0.13
O 0.213 0.231 0.043  0.13
O 0.923 0.520 0.241  0.17
O 0.423 0.980 0.741  0.17
O 0.077 0.480 0.759  0.17
O 0.577 0.020 0.259  0.17

Computed properties:
E_form (uncorrected) ... -2.187 eV/atom
Crystal system ... monoclinic

---

(4)
Entry from the Alexandria database: crystalline YBe2Co at its relaxed geometry (PBE).

Cell lengths 3.694, 2.874, 5.474 Å; angles 74.96, 90.00, 90.00 degrees
Positions (direct):
Y 0.500 0.750 0.750
Be 0.000 0.051 0.090
Be 0.000 0.449 0.410
Co 0.500 0.250 0.250

Computed properties:
Calculated formation energy ... 0.11 eV per atom
Distance to the lowest polymorph of the same formula ... 308 meV/atom
Crystal system ... monoclinic

---

(5)
Entry from the Alexandria database: crystalline MnGePS2 at its relaxed geometry (PBE).

Cell lengths 4.721, 4.721, 4.659 Å; angles 90.00, 90.00, 90.00 degrees
Each line ends with the local moment (μB).
Positions (direct):
P 0.000 0.000 0.500  -0.16
Ge 0.000 0.000 0.000  0.01
Mn 0.500 0.500 0.500  4.42
S 0.000 0.500 0.000  -0.03
S 0.500 0.000 0.000  -0.03

Computed properties:
Distance to the lowest polymorph of the same formula ... 347 meV/atom
E_form (uncorrected) ... 0.684 eV/atom
Crystal system ... tetragonal

---

(6)
Entry from the Alexandria database: crystalline BaPr3 at its relaxed geometry (PBE).

Cell lengths 3.851, 6.758, 7.334 Å; angles 117.43, 105.22, 90.00 degrees
Positions (direct):
Pr 0.239 0.575 0.478
Pr 0.500 0.501 0.000
Pr 0.761 0.097 0.522
Ba 0.000 0.994 0.000

Computed properties:
Calculated formation energy ... 0.16 eV per atom
Distance to the lowest polymorph of the same formula ... 4 meV/atom
Crystal system ... orthorhombic

---

(7)
Entry from the Alexandria database: crystalline Pm8Cd2Ag at its relaxed geometry (PBE).

Cell lengths 5.354, 7.105, 9.626 Å; angles 104.30, 106.15, 90.00 degrees
Positions (direct):
Pm 0.408 0.545 0.817
Pm 0.660 0.961 0.320
Pm 0.802 0.705 0.604
Pm 0.979 0.234 0.957
Pm 0.198 0.295 0.396
Pm 0.340 0.039 0.680
Pm 0.592 0.455 0.183
Pm 0.021 0.766 0.043
Cd 0.812 0.277 0.625
Cd 0.188 0.723 0.375
Ag 0.500 0.000 0.000

Computed properties:
Calculated formation energy ... -0.11 eV per atom
Distance to the lowest polymorph of the same formula ... 32 meV/atom
Crystal system ... monoclinic

---

(8)
Entry from the Alexandria database: crystalline MoAu4Se at its relaxed geometry (PBE).

Cell lengths 5.525, 5.525, 5.525 Å; angles 60.00, 60.00, 60.00 degrees
Each line ends with the local moment (μB).
Positions (direct):
Mo 0.750 0.750 0.750  3.24
Au 0.874 0.375 0.375  0.07
Au 0.375 0.375 0.874  0.07
Au 0.375 0.874 0.375  0.07
Au 0.375 0.375 0.375  0.07
Se 0.000 0.000 0.000  -0.10

Computed properties:
E_form (uncorrected) ... 0.514 eV/atom
Crystal system ... cubic

---

| no. | total magnetic moment (μB/cell) | uncorrected energy (eV/atom) |
| --- | --- | --- |
| 1 | 0.00 | -3.169 |
| 2 | 1.04 | -3.541 |
| 3 | 2.10 | -6.410 |
| 4 | 0.00 | -5.141 |
| 5 | 4.37 | -4.806 |
| 6 | 0.00 | -3.906 |
| 7 | 0.00 | -3.988 |
| 8 | 4.02 | -4.057 |